DFT (PBE) results for a relaxed structure of Li2BeP.

a b c (Å): 5.797 5.797 5.797
angles (deg): 90.00 90.00 90.00
Space group F-43m (No. 216)
Unique sites:
1 Li 0.000 0.000 0.000 (multiplicity 4)
2 Li 0.250 0.250 0.250 (multiplicity 4)
3 Be 0.000 0.000 0.500 (multiplicity 4)
4 P 0.250 0.250 0.750 (multiplicity 4)

Output
Density of states at the Fermi level: 2.1 states/eV/f.u.
Total DFT energy (no corrections): -3.311 eV/atom
Energy of formation from the pure elements: -70 meV per atom
Total magnetic moment: 0.000 μB/atom